Computed, not measured: a relaxed UV2O8 crystal at the PBE with a Hubbard U level of DFT.

## Properties
Density of states at the Fermi level (states/eV/f.u.): 0.00
Energy above the most stable polymorph in this dataset (meV/atom): 77
M_tot (μB/atom): 0.000
SG: No. 8

```
UV2O8
1.0
9.842 -1.991 0.000
9.842 1.991 0.000
-0.063 0.000 4.193
U V O
1 2 8
Direct
0.000 0.000 0.000
0.195 0.195 0.901
0.805 0.805 0.102
0.000 0.000 0.500
0.106 0.106 0.003
0.192 0.192 0.515
0.290 0.290 0.025
0.500 0.500 0.999
0.710 0.710 0.978
0.808 0.808 0.487
0.894 0.894 0.998
```